Entry 1:
VASP calculation (PBE-GGA) on a relaxed structure of SrTl2Ir.

Geometry as POSCAR:
```
SrTl2Ir
1.0
5.289 0.000 0.001
-2.619 5.884 0.002
0.051 1.054 3.363
Tl Sr Ir
2 1 1
direct
0.500 0.000 0.500 Tl
0.000 0.000 0.000 Tl
0.500 0.500 0.000 Sr
0.000 0.500 0.500 Ir
```

Energy, eV per atom: -3.4911
Size of the total moment, μB per cell: 0.00

Entry 2:
VASP calculation (PBE-GGA) on a relaxed structure of RbAc3P.

Geometry as POSCAR:
```
RbAc3P
1.0
-3.114 -1.571 -5.005
4.902 -2.944 -2.126
-1.868 -5.107 2.765
Ac Rb P
3 1 1
direct
0.000 0.500 0.000 Ac
0.500 0.000 0.000 Ac
0.000 0.000 0.500 Ac
0.500 0.500 0.500 Rb
0.000 0.000 0.000 P
```

Energy, eV per atom: -3.9631
Size of the total moment, μB per cell: 0.00

Entry 3:
VASP calculation (PBE-GGA) on a relaxed structure of BaTaIrW2.

Geometry as POSCAR:
```
BaTaIrW2
1.0
-1.198 1.537 4.394
-0.812 -5.396 1.667
4.604 -0.276 1.351
W Ir Ba Ta
2 1 1 1
direct
0.500 0.000 0.000 W
0.000 0.000 0.500 W
0.500 0.500 0.500 Ir
0.000 0.500 0.000 Ba
0.000 0.000 0.000 Ta
```

Energy, eV per atom: -7.2679
Size of the total moment, μB per cell: 0.00

Entry 4:
VASP calculation (PBE-GGA) on a relaxed structure of KNb2Tl2O7.

Geometry as POSCAR:
```
KNb2Tl2O7
1.0
4.093 0.043 -0.140
0.048 4.093 -0.140
1.619 1.617 10.769
O Nb Tl K
7 2 2 1
direct
0.949 0.449 0.186 O
0.410 0.410 0.370 O
0.551 0.051 0.814 O
0.051 0.551 0.814 O
0.449 0.949 0.186 O
0.500 0.500 0.000 O
0.590 0.590 0.630 O
0.410 0.410 0.186 Nb
0.590 0.590 0.814 Nb
0.809 0.809 0.397 Tl
0.191 0.191 0.603 Tl
0.000 0.000 0.000 K
```

Energy, eV per atom: -6.9594
Size of the total moment, μB per cell: 0.00
Raw formation energy, meV/atom: -1903

Entry 5:
VASP calculation (PBE-GGA) on a relaxed structure of PmNd4Dy2Mg.

Geometry as POSCAR:
```
PmNd4Dy2Mg
1.0
5.083 0.000 0.000
0.000 4.850 1.539
0.000 1.794 11.161
Nd Dy Pm Mg
4 2 1 1
direct
0.500 0.256 0.744 Nd
0.000 0.245 0.256 Nd
0.500 0.744 0.256 Nd
0.000 0.755 0.744 Nd
0.500 0.000 0.500 Dy
0.000 0.000 0.000 Dy
0.500 0.500 0.000 Pm
0.000 0.500 0.500 Mg
```

Energy, eV per atom: -4.3222
Size of the total moment, μB per cell: 0.00

Entry 6:
VASP calculation (PBE-GGA) on a relaxed structure of Ac6Pr4Y.

Geometry as POSCAR:
```
Ac6Pr4Y
1.0
-2.677 -4.978 -9.036
1.454 -1.850 10.395
-4.207 5.959 7.771
Ac Y Pr
6 1 4
direct
0.500 0.000 0.500 Ac
0.367 0.540 0.540 Ac
0.000 0.460 0.827 Ac
0.000 0.827 0.460 Ac
0.500 0.500 0.000 Ac
0.633 0.173 0.173 Ac
0.000 0.000 0.000 Y
0.000 0.646 0.017 Pr
0.371 0.354 0.354 Pr
0.000 0.017 0.646 Pr
0.629 0.983 0.983 Pr
```

Energy, eV per atom: -4.2654
Size of the total moment, μB per cell: 0.00

Entry 7:
VASP calculation (PBE-GGA) on a relaxed structure of Pa2Be16C.

Geometry as POSCAR:
```
Pa2Be16C
1.0
-5.393 -0.830 -2.017
-1.121 -4.708 3.228
-2.684 2.856 4.298
Pa Be C
2 16 1
direct
0.336 0.336 0.336 Pa
0.672 0.672 0.672 Pa
0.340 0.340 0.841 Be
0.291 0.003 0.714 Be
0.661 0.165 0.661 Be
0.003 0.291 0.714 Be
0.003 0.714 0.291 Be
0.841 0.340 0.340 Be
0.714 0.291 0.003 Be
0.003 0.003 0.497 Be
0.070 0.070 0.070 Be
0.497 0.003 0.003 Be
0.003 0.497 0.003 Be
0.714 0.003 0.291 Be
0.165 0.661 0.661 Be
0.661 0.661 0.165 Be
0.291 0.714 0.003 Be
0.340 0.841 0.340 Be
0.894 0.894 0.894 C
```

Energy, eV per atom: -4.5454
Size of the total moment, μB per cell: 0.00

Entry 8:
VASP calculation (PBE-GGA) on a relaxed structure of Rb2NaCdBr4.

Geometry as POSCAR:
```
Rb2NaCdBr4
1.0
6.438 0.000 0.000
3.219 7.813 0.000
3.219 0.000 12.554
Rb Na Br Cd
4 2 8 2
direct
0.569 0.500 0.862 Rb
0.181 0.000 0.638 Rb
0.931 0.500 0.138 Rb
0.819 0.000 0.362 Rb
0.000 0.000 0.000 Na
0.750 0.500 0.500 Na
0.462 0.742 0.384 Br
0.796 0.742 0.616 Br
0.588 0.258 0.616 Br
0.954 0.758 0.884 Br
0.162 0.242 0.884 Br
0.596 0.242 0.116 Br
0.288 0.758 0.116 Br
0.154 0.258 0.384 Br
0.500 0.000 0.000 Cd
0.250 0.500 0.500 Cd
```

Energy, eV per atom: -2.5706
Size of the total moment, μB per cell: 1.30
Raw formation energy, meV/atom: -1213

Entry 9:
VASP calculation (PBE-GGA) on a relaxed structure of ReSbW.

Geometry as POSCAR:
```
ReSbW
1.0
-3.046 1.521 -3.395
1.797 -0.033 -4.459
-0.930 -2.820 3.781
Sb W Re
1 1 1
direct
0.333 0.333 0.000 Sb
0.667 0.667 0.000 W
0.999 0.999 0.000 Re
```

Energy, eV per atom: -9.2241
Size of the total moment, μB per cell: 0.00
Raw formation energy, meV/atom: 617

Entry 10:
VASP calculation (PBE-GGA) on a relaxed structure of PrSm4Tm10.

Geometry as POSCAR:
```
PrSm4Tm10
1.0
0.097 -2.524 5.901
0.927 -9.582 -0.622
9.103 -0.400 3.170
Sm Tm Pr
4 10 1
direct
0.673 0.760 0.895 Sm
0.568 0.105 0.760 Sm
0.432 0.895 0.240 Sm
0.327 0.240 0.105 Sm
0.880 0.577 0.163 Tm
0.750 0.500 0.500 Tm
0.120 0.423 0.837 Tm
0.621 0.423 0.837 Tm
0.957 0.163 0.423 Tm
0.458 0.163 0.423 Tm
0.250 0.500 0.500 Tm
0.379 0.577 0.163 Tm
0.043 0.837 0.577 Tm
0.542 0.837 0.577 Tm
0.000 0.000 0.000 Pr
```

Energy, eV per atom: -3.9914
Size of the total moment, μB per cell: 0.00

Number 2 is which compound?
RbAc3P

Which formula does entry 5 have?
PmNd4Dy2Mg